Computed, not measured: crystalline LiLaI2N at its relaxed geometry at the PBE level of DFT.

Cell: 6.527 6.527 4.204 Å, 90.00 90.00 90.00°
Space group P4/mmm (No. 123)
Inequivalent atoms, fractional coordinates:
Li 0.000 0.000 0.000
La 0.500 0.500 0.500
I 0.000 0.500 0.500
N 0.500 0.500 0.000

Calculated values
Total energy = -21.5 eV/cell
Calculated volume = 179.1 Å³/cell
Formation energy without anion corrections = -655 meV/atom